FePH6NO5 (GGA+U, optimized geometry); total DFT energy (no corrections) = -5.876 eV per atom; space group = Pna2_1, No. 33
1.0
4.849 0.000 0.000
0.000 5.723 0.000
0.000 0.000 17.981
Fe P H N O
4 4 24 4 20
Cartesian
2.387 4.277 9.210
4.812 1.416 17.761
2.387 4.307 0.219
4.812 1.445 8.771
4.495 4.325 7.228
4.495 4.260 16.219
2.071 1.463 1.762
2.071 1.398 10.753
0.944 4.355 4.874
0.944 4.229 13.864
3.369 1.494 4.116
3.369 1.367 13.107
2.676 4.370 4.918
2.676 4.214 13.909
0.251 1.508 4.072
0.251 1.353 13.062
1.857 3.704 3.594
1.830 3.198 12.822
1.830 5.387 3.831
1.857 4.880 12.584
4.254 2.525 5.159
4.282 2.019 14.387
4.282 0.843 5.396
4.254 0.336 14.150
4.596 3.632 1.713
4.351 3.398 10.778
4.351 5.187 1.787
4.596 4.952 10.703
1.926 2.325 7.203
2.171 2.091 16.268
2.171 0.770 7.277
1.926 0.536 16.193
1.824 4.448 4.303
1.824 4.136 13.293
4.248 1.587 4.688
4.248 1.274 13.678
1.153 4.298 7.496
1.153 4.286 16.486
3.578 1.436 1.495
3.578 1.425 10.485
4.239 4.233 5.696
4.239 4.352 14.687
1.815 1.371 3.294
1.815 1.490 12.284
3.898 4.315 1.871
3.898 4.269 10.861
1.474 1.454 7.120
1.474 1.408 16.110
3.764 3.146 7.976
3.819 2.955 16.791
3.819 5.629 7.801
3.764 5.438 16.967
1.394 2.768 1.190
1.339 2.577 10.004
1.339 0.284 1.014
1.394 0.094 10.180